Here is crystalline Na2TeBr at its relaxed geometry from Alexandria. Energies are from PBE.

Lattice parameters (Å, degrees): 3.624 3.624 8.205 90.00 90.00 90.00
Positions (direct):
Na  0.000  0.000  0.224
Na  0.000  0.000  0.776
Te  0.500  0.500  0.500
Br  0.500  0.500  0.000

space-group type	P4/mmm, No. 123
ΔE_f (raw)	-997.1	meV/atom